A relaxed structure of LiLa3Ru, computed with GGA-PBE.

The energy relative to the lowest polymorph listed for this composition comes out at 2.63 eV per formula unit. As for the volume: 32.3 Å³/atom. The value obtained for the formation energy is 35 kJ per mole of atoms. For the total magnetic moment, the calculation gives 2.53 μB per cell. For the total energy, the calculation gives -48.3 eV/cell.

The space group is P6_3/mmc (No. 194) and the conventional cell measures 4.5335, 4.5335 and 18.1566 Å, with angles of 90.00, 90.00 and 120.00 degrees. The inequivalent atoms are Li at (0.3333, 0.6667, 0.2500), La at (0.0000, 0.0000, 0.2500), La at (0.3333, 0.6667, 0.0721) and Ru at (0.0000, 0.0000, 0.0000).